# 1
DFT (PBE) results for crystalline NpBPt at its relaxed geometry.

Unit cell a=6.155 b=6.155 c=6.155 alpha=90.00 beta=90.00 gamma=90.00
Space group F-43m (No. 216)
Asymmetric unit:
Np1 0.000 0.000 0.000 x4
B1 0.000 0.000 0.500 x4
Pt1 0.250 0.250 0.750 x4

Properties
Mass density   12.62 g cm⁻³
E   -7.99 eV/atom
ΔE to the lowest computed polymorph   495 meV per atom

=====

# 2
DFT (PBE) results for crystalline HoTlNO at its relaxed geometry.

Unit cell a=6.699 b=7.589 c=5.866 alpha=90.00 beta=90.00 gamma=90.00
Space group Pca2_1 (No. 29)
Asymmetric unit:
Ho1 0.085 0.124 0.000 x4
Tl1 0.085 0.642 0.004 x4
N1 0.099 0.105 0.620 x4
O1 0.057 0.628 0.589 x4

Properties
Mass density   8.89 g cm⁻³
E   -6.14 eV/atom
ΔE to the lowest computed polymorph   42 meV per atom